PBE Dy3GaCo3, relaxed; E = -5.8062 eV/atom; crystal system = orthorhombic
1.0
2.032 -4.991 0.000
2.032 4.991 0.000
0.000 0.000 12.857
Co Dy Ga
6 6 2
Cartesian
2.031 4.153 1.225
2.031 2.925 3.214
2.031 4.153 5.204
2.031 -4.153 7.653
2.031 -2.925 9.643
2.031 -4.153 11.633
2.031 -2.931 1.337
2.031 -0.055 3.214
2.031 -2.931 5.092
2.031 2.931 7.765
2.031 0.055 9.643
2.031 2.931 11.521
2.031 0.000 0.000
2.031 0.000 6.429